Computed, not measured: a geometry-optimized ZrCoRe2 structure at the PBE level of DFT.

Summary:
Raw total energy, eV per atom: -10.1006
DFT formation energy, eV/atom: 0.024
Space group: No. 216

The structure in CIF format:
```
data_ZrCoRe2
_chemical_formula_sum 'Zr1 Co1 Re2'
_symmetry_space_group_name_H-M 'P 1'
_symmetry_Int_Tables_number 1
_symmetry_space_group_name_Hall 'P 1'
_cell_length_a 4.434
_cell_length_b 4.434
_cell_length_c 4.434
_cell_angle_alpha 60.00
_cell_angle_beta 60.00
_cell_angle_gamma 60.00
loop_
_atom_site_label
_atom_site_fract_x
_atom_site_fract_y
_atom_site_fract_z
Re1 0.750 0.750 0.750
Re2 0.000 0.000 0.000
Zr1 0.500 0.500 0.500
Co1 0.250 0.250 0.250
```



Computed, not measured: a geometry-optimized CoS structure at the PBE level of DFT.

Summary:
Raw total energy, eV per atom: -5.8895
Space group: No. 194

The structure in CIF format:
```
data_CoS
_chemical_formula_sum 'Co2 S2'
_symmetry_space_group_name_H-M 'P 1'
_symmetry_Int_Tables_number 1
_symmetry_space_group_name_Hall 'P 1'
_cell_length_a 3.348
_cell_length_b 3.348
_cell_length_c 5.109
_cell_angle_alpha 90.00
_cell_angle_beta 90.00
_cell_angle_gamma 120.00
loop_
_atom_site_label
_atom_site_fract_x
_atom_site_fract_y
_atom_site_fract_z
Co1 0.000 0.000 0.500
Co2 0.000 0.000 0.000
S1 0.333 0.667 0.250
S2 0.667 0.333 0.750
```



Computed, not measured: a geometry-optimized Co3S structure at the PBE level of DFT.

Summary:
Raw total energy, eV per atom: -6.0552
Space group: No. 194

The structure in CIF format:
```
data_Co3S
_chemical_formula_sum 'Co6 S2'
_symmetry_space_group_name_H-M 'P 1'
_symmetry_Int_Tables_number 1
_symmetry_space_group_name_Hall 'P 1'
_cell_length_a 5.193
_cell_length_b 5.193
_cell_length_c 3.808
_cell_angle_alpha 90.00
_cell_angle_beta 90.00
_cell_angle_gamma 120.00
loop_
_atom_site_label
_atom_site_fract_x
_atom_site_fract_y
_atom_site_fract_z
Co1 0.169 0.337 0.250
Co2 0.831 0.169 0.750
Co3 0.169 0.831 0.250
Co4 0.831 0.663 0.750
Co5 0.663 0.831 0.250
Co6 0.337 0.169 0.750
S1 0.333 0.667 0.750
S2 0.667 0.333 0.250
```